Density functional theory data (GGA-PBE) for a geometry-optimized EuMgSnPb structure.

The value obtained for the density of states at the Fermi level is 10.378 states/eV per cell. The total magnetization comes out at 27.556 μB/cell. The calculation puts the formation energy from the elements at -1.32 eV per formula unit.

It has space group F-43m (No. 216), with a = 7.6616 Å, b = 7.6616 Å, c = 7.6616 Å, α = 90.00°, β = 90.00° and γ = 90.00°. Symmetry generates all atoms from Eu at (0.0000, 0.0000, 0.0000), Mg at (0.0000, 0.0000, 0.5000), Sn at (0.2500, 0.2500, 0.2500) and Pb at (0.2500, 0.2500, 0.7500).

---

Density functional theory data (GGA-PBE) for a geometry-optimized SrEuMgPb structure.

The value obtained for the density of states at the Fermi level is 40.084 states/eV per cell. The total magnetization comes out at 28.905 μB/cell. The calculation puts the formation energy from the elements at -1.49 eV per formula unit.

It has space group F-43m (No. 216), with a = 8.1123 Å, b = 8.1123 Å, c = 8.1123 Å, α = 90.00°, β = 90.00° and γ = 90.00°. Symmetry generates all atoms from Sr at (0.0000, 0.0000, 0.0000), Eu at (0.0000, 0.0000, 0.5000), Mg at (0.2500, 0.2500, 0.7500) and Pb at (0.2500, 0.2500, 0.2500).

---

Density functional theory data (GGA-PBE) for a geometry-optimized EuMg3Pd structure.

The value obtained for the density of states at the Fermi level is 10.806 states/eV per cell. The total magnetization comes out at 7.891 μB/cell. The calculation puts the formation energy from the elements at -1.46 eV per formula unit.

It has space group Pm-3m (No. 221), with a = 5.0820 Å, b = 5.0820 Å, c = 5.0820 Å, α = 90.00°, β = 90.00° and γ = 90.00°. Symmetry generates all atoms from Eu at (0.0000, 0.0000, 0.0000), Mg at (0.0000, 0.5000, 0.5000) and Pd at (0.5000, 0.5000, 0.5000).

---

Density functional theory data (GGA-PBE) for a geometry-optimized EuMgPd structure.

The value obtained for the density of states at the Fermi level is 12.676 states/eV per cell. The total magnetization comes out at 14.316 μB/cell. The calculation puts the formation energy from the elements at -1.40 eV per formula unit.

It has space group I4mm (No. 107), with a = 3.4605 Å, b = 3.4605 Å, c = 11.7781 Å, α = 90.00°, β = 90.00° and γ = 90.00°. Symmetry generates all atoms from Eu at (0.0000, 0.0000, 0.0000), Mg at (0.0000, 0.0000, 0.2779) and Pd at (0.0000, 0.0000, 0.6696).

---

Density functional theory data (GGA-PBE) for a geometry-optimized EuMg2Pd structure.

The value obtained for the density of states at the Fermi level is 2.082 states/eV per cell. The total magnetization comes out at 7.244 μB/cell. The calculation puts the formation energy from the elements at -1.45 eV per formula unit.

It has space group P4/mmm (No. 123), with a = 3.3331 Å, b = 3.3331 Å, c = 8.2784 Å, α = 90.00°, β = 90.00° and γ = 90.00°. Symmetry generates all atoms from Eu at (0.0000, 0.0000, 0.0000), Mg at (0.5000, 0.5000, 0.3200) and Pd at (0.0000, 0.0000, 0.5000).

---

Density functional theory data (GGA-PBE) for a geometry-optimized EuMgPd structure.

The value obtained for the density of states at the Fermi level is 43.388 states/eV per cell. The total magnetization comes out at 28.496 μB/cell. The calculation puts the formation energy from the elements at -1.30 eV per formula unit.

It has space group F-43m (No. 216), with a = 6.8636 Å, b = 6.8636 Å, c = 6.8636 Å, α = 90.00°, β = 90.00° and γ = 90.00°. Symmetry generates all atoms from Eu at (0.0000, 0.0000, 0.0000), Mg at (0.0000, 0.0000, 0.5000) and Pd at (0.2500, 0.2500, 0.7500).

---

Question: Which of these has the highest formation energy from the elements?
Answer: number 6